No. 1
# PBE ScTlCl4, optimized geometry
data_ScTlCl4
_chemical_formula_sum 'Sc4 Tl4 Cl16'
_space_group_name_H-M_alt 'C 1 2/c 1'
_space_group_IT_number 15
_space_group_name_Hall '-C 2yc'
_cell_length_a 15.700
_cell_length_b 6.388
_cell_length_c 7.054
_cell_angle_alpha 90.00
_cell_angle_beta 104.58
_cell_angle_gamma 90.00
loop_
_atom_site_label
_atom_site_type_symbol
_atom_site_fract_x
_atom_site_fract_y
_atom_site_fract_z
Sc1 Sc 0.250 0.250 0.000
Tl1 Tl 0.000 0.219 0.250
Cl1 Cl 0.102 0.388 0.948
Cl2 Cl 0.198 0.060 0.671
# distance to the lowest polymorph of the same formula	0.00	eV/f.u.
# formation energy from raw total energies	-1.733	eV per atom
# E_tot	-4.414	eV/atom
# size of the total moment	0.00	μB per atom

***

No. 2
# PBE MgRe, optimized geometry
data_MgRe
_chemical_formula_sum 'Mg4 Re4'
_space_group_name_H-M_alt 'P 63/m m c'
_space_group_IT_number 194
_space_group_name_Hall '-P 6c 2c'
_cell_length_a 4.4756
_cell_length_b 4.4756
_cell_length_c 7.6338
_cell_angle_alpha 90.00
_cell_angle_beta 90.00
_cell_angle_gamma 120.00
loop_
_atom_site_label
_atom_site_type_symbol
_atom_site_fract_x
_atom_site_fract_y
_atom_site_fract_z
Mg1 Mg 0.0000 0.0000 0.2500
Mg2 Mg 0.3333 0.6667 0.2500
Re1 Re 0.3333 0.6667 0.5822
# distance to the lowest polymorph of the same formula	0.88	eV/f.u.
# formation energy	0.51	eV/atom
# E_tot	-6.514	eV/atom
# size of the total moment	0.00	μB per atom

***

No. 3
# PBE LiLa2BeN, optimized geometry
data_LiLa2BeN
_chemical_formula_sum 'Li1 La2 Be1 N1'
_space_group_name_H-M_alt 'P 4/m m m'
_space_group_IT_number 123
_space_group_name_Hall '-P 4 2'
_cell_length_a 5.351
_cell_length_b 5.351
_cell_length_c 3.403
_cell_angle_alpha 90.00
_cell_angle_beta 90.00
_cell_angle_gamma 90.00
loop_
_atom_site_label
_atom_site_type_symbol
_atom_site_fract_x
_atom_site_fract_y
_atom_site_fract_z
Li1 Li 0.000 0.000 0.000
La1 La 0.000 0.500 0.500
Be1 Be 0.500 0.500 0.000
N1 N 0.500 0.500 0.500
# formation energy from raw total energies	-0.364	eV per atom
# E_tot	-5.128	eV/atom
# size of the total moment	0.00	μB per atom

***

No. 4
# PBE Sr12Ca3Hg, optimized geometry
data_Sr12Ca3Hg
_chemical_formula_sum 'Sr12 Ca3 Hg1'
_space_group_name_H-M_alt 'P 4/m m m'
_space_group_IT_number 123
_space_group_name_Hall '-P 4 2'
_cell_length_a 5.904
_cell_length_b 5.904
_cell_length_c 22.370
_cell_angle_alpha 90.00
_cell_angle_beta 90.00
_cell_angle_gamma 90.00
loop_
_atom_site_label
_atom_site_type_symbol
_atom_site_fract_x
_atom_site_fract_y
_atom_site_fract_z
Sr1 Sr 0.000 0.000 0.000
Sr2 Sr 0.000 0.000 0.236
Sr3 Sr 0.000 0.000 0.500
Sr4 Sr 0.000 0.500 0.107
Sr5 Sr 0.000 0.500 0.369
Ca1 Ca 0.500 0.500 0.240
Ca2 Ca 0.500 0.500 0.500
Hg1 Hg 0.500 0.500 0.000
# formation energy	-0.02	eV/atom
# E_tot	-1.672	eV/atom
# size of the total moment	0.00	μB per atom

***

No. 5
# PBE SrPd2Au2, optimized geometry
data_SrPd2Au2
_chemical_formula_sum 'Sr2 Pd4 Au4'
_space_group_name_H-M_alt 'P 4/m b m'
_space_group_IT_number 127
_space_group_name_Hall '-P 4 2ab'
_cell_length_a 7.792
_cell_length_b 7.792
_cell_length_c 3.310
_cell_angle_alpha 90.00
_cell_angle_beta 90.00
_cell_angle_gamma 90.00
loop_
_atom_site_label
_atom_site_type_symbol
_atom_site_fract_x
_atom_site_fract_y
_atom_site_fract_z
Sr1 Sr 0.000 0.000 0.000
Pd1 Pd 0.127 0.373 0.000
Au1 Au 0.169 0.669 0.500
# distance to the lowest polymorph of the same formula	0.13	eV/f.u.
# formation energy	-0.39	eV/atom
# E_tot	-4.119	eV/atom
# size of the total moment	0.00	μB per atom

***

No. 6
# PBE Pm4Al16Fe3, optimized geometry
data_Pm4Al16Fe3
_chemical_formula_sum 'Pm4 Al16 Fe3'
_space_group_name_H-M_alt 'P 4/m m m'
_space_group_IT_number 123
_space_group_name_Hall '-P 4 2'
_cell_length_a 6.094
_cell_length_b 6.094
_cell_length_c 11.400
_cell_angle_alpha 90.00
_cell_angle_beta 90.00
_cell_angle_gamma 90.00
loop_
_atom_site_label
_atom_site_type_symbol
_atom_site_fract_x
_atom_site_fract_y
_atom_site_fract_z
Pm1 Pm 0.000 0.500 0.193
Al1 Al 0.000 0.000 0.196
Al2 Al 0.224 0.224 0.000
Al3 Al 0.252 0.252 0.387
Al4 Al 0.500 0.500 0.212
Fe1 Fe 0.000 0.500 0.500
Fe2 Fe 0.500 0.500 0.000
# formation energy	-0.40	eV/atom
# E_tot	-4.929	eV/atom
# size of the total moment	0.05	μB per atom

***

No. 7
# PBE BPRhCS, optimized geometry
data_BPRhCS
_chemical_formula_sum 'B1 P1 Rh1 C1 S1'
_space_group_name_H-M_alt 'P 1'
_space_group_IT_number 1
_space_group_name_Hall 'P 1'
_cell_length_a 4.026
_cell_length_b 4.055
_cell_length_c 4.209
_cell_angle_alpha 86.45
_cell_angle_beta 82.30
_cell_angle_gamma 69.10
loop_
_atom_site_label
_atom_site_type_symbol
_atom_site_fract_x
_atom_site_fract_y
_atom_site_fract_z
B1 B 0.000 0.000 0.000
P1 P 0.777 0.493 0.072
Rh1 Rh 0.542 0.929 0.722
C1 C 0.980 0.734 0.285
S1 S 0.363 0.515 0.472
# distance to the lowest polymorph of the same formula	2.05	eV/f.u.
# formation energy from raw total energies	0.260	eV per atom
# E_tot	-6.298	eV/atom
# size of the total moment	0.00	μB per atom

***

No. 8
# PBE Ce2Sb4PtRh3, optimized geometry
data_Ce2Sb4PtRh3
_chemical_formula_sum 'Ce2 Sb4 Pt1 Rh3'
_space_group_name_H-M_alt 'P -4 m 2'
_space_group_IT_number 115
_space_group_name_Hall 'P -4 -2'
_cell_length_a 4.618
_cell_length_b 4.618
_cell_length_c 10.269
_cell_angle_alpha 90.00
_cell_angle_beta 90.00
_cell_angle_gamma 90.00
loop_
_atom_site_label
_atom_site_type_symbol
_atom_site_fract_x
_atom_site_fract_y
_atom_site_fract_z
Ce1 Ce 0.000 0.500 0.243
Sb1 Sb 0.000 0.000 0.500
Sb2 Sb 0.000 0.500 0.868
Sb3 Sb 0.500 0.500 0.500
Pt1 Pt 0.500 0.500 0.000
Rh1 Rh 0.000 0.000 0.000
Rh2 Rh 0.000 0.500 0.619
# formation energy from raw total energies	-0.779	eV per atom
# E_tot	-6.425	eV/atom
# size of the total moment	0.15	μB per atom

***

Number 1: ρ 3.8 g cm⁻³. Number 2: ρ 10.6 g cm⁻³. Number 3: ρ 5.2 g cm⁻³. Number 4: ρ 2.9 g cm⁻³. Number 5: ρ 11.5 g cm⁻³. Number 6: ρ 4.6 g cm⁻³. Number 7: ρ 4.9 g cm⁻³. Number 8: ρ 9.6 g cm⁻³.